<a>
## YP2ICl (PBE)

Data for YP2ICl after structural relaxation.

Output
SG: No. 123

abc: 5.1554 5.1554 5.1139
angles: 90.00 90.00 90.00
Element x y z (fractional)
I1 0.0000 0.0000 0.0000
Y1 0.5000 0.5000 0.5000
P1 0.0000 0.5000 0.0000
P2 0.5000 0.0000 0.0000
Cl1 0.0000 0.0000 0.5000

<b>
## YP2ICl (PBE)

Data for YP2ICl after structural relaxation.

Output
SG: No. 123

abc: 5.5301 5.5301 5.1329
angles: 90.00 90.00 90.00
Element x y z (fractional)
I1 0.5000 0.5000 0.5000
Y1 0.0000 0.0000 0.0000
P1 0.0000 0.5000 0.0000
P2 0.5000 0.0000 0.0000
Cl1 0.0000 0.0000 0.5000

What should be chosen as the least stable of them? Choose <a>.

<a>
## ZnPICl2 (PBE)

Data for ZnPICl2 after structural relaxation.

Output
SG: No. 123

abc: 5.5026 5.5026 5.2444
angles: 90.00 90.00 90.00
Element x y z (fractional)
I1 0.0000 0.0000 0.0000
P1 0.0000 0.0000 0.5000
Zn1 0.5000 0.5000 0.5000
Cl1 0.0000 0.5000 0.0000
Cl2 0.5000 0.0000 0.0000

<b>
## ZnPICl2 (PBE)

Data for ZnPICl2 after structural relaxation.

Output
SG: No. 123

abc: 4.5235 4.5235 7.7140
angles: 90.00 90.00 90.00
Element x y z (fractional)
I1 0.5000 0.5000 0.5000
P1 0.0000 0.0000 0.5000
Zn1 0.0000 0.0000 0.0000
Cl1 0.0000 0.5000 0.0000
Cl2 0.5000 0.0000 0.0000

What should be chosen as the least stable of them? Choose <a>.

<a>
## ZrP2ICl (PBE)

Data for ZrP2ICl after structural relaxation.

Output
SG: No. 123

abc: 5.1811 5.1811 4.9570
angles: 90.00 90.00 90.00
Element x y z (fractional)
I1 0.5000 0.5000 0.5000
P1 0.0000 0.5000 0.0000
P2 0.5000 0.0000 0.0000
Zr1 0.0000 0.0000 0.0000
Cl1 0.0000 0.0000 0.5000

<b>
## ZrP2ICl (PBE)

Data for ZrP2ICl after structural relaxation.

Output
SG: No. 123

abc: 5.1144 5.1144 5.0569
angles: 90.00 90.00 90.00
Element x y z (fractional)
I1 0.0000 0.0000 0.0000
P1 0.0000 0.5000 0.0000
P2 0.5000 0.0000 0.0000
Zr1 0.5000 0.5000 0.5000
Cl1 0.0000 0.0000 0.5000

What should be chosen as the least stable of them? Choose <b>.